Material: Na2SrCo3F12
Method: DFT, PBE with a Hubbard U
State: optimized geometry

- total DFT energy (no corrections) (eV per atom) = -4.6832

Cell and atoms, written as CIF:
```
data_Na2SrCo3F12
_chemical_formula_sum 'Na2 Sr1 Co3 F12'
_space_group_name_H-M_alt 'P 1'
_space_group_IT_number 1
_cell_length_a 6.8602
_cell_length_b 6.8602
_cell_length_c 6.8602
_cell_angle_alpha 64.02
_cell_angle_beta 64.02
_cell_angle_gamma 64.02
loop_
_space_group_symop_operation_xyz
'x,y,z'
loop_
_atom_site_label
_atom_site_fract_x
_atom_site_fract_y
_atom_site_fract_z
F1 0.2704 0.2704 0.8908
F2 0.2704 0.8908 0.2704
F3 0.4348 0.8632 0.8632
F4 0.7296 0.7296 0.1092
F5 0.7296 0.1092 0.7296
F6 0.8908 0.2704 0.2704
F7 0.8632 0.8632 0.4348
F8 0.1368 0.5652 0.1368
F9 0.1092 0.7296 0.7296
F10 0.5652 0.1368 0.1368
F11 0.1368 0.1368 0.5652
F12 0.8632 0.4348 0.8632
Na1 0.3609 0.3609 0.3609
Na2 0.6391 0.6391 0.6391
Co1 0.0000 0.0000 0.5000
Co2 0.5000 0.0000 0.0000
Co3 0.0000 0.5000 0.0000
Sr1 0.0000 0.0000 0.0000
```